{"formula": "Co2ReIr", "functional": "PBE", "state": "optimized geometry", "sg": "Amm2, No. 38", "dos_at_fermi_per_ev_fu": 4.2, "m_tot_mub_per_cell": 0.02, "e_form_kj_per_mol_fu": 1, "rho_g_cm3": 16.46, "lattice_angstrom": [[-1.925, 1.224, -3.275], [1.917, -0.988, -1.496], [-1.353, -4.673, -0.951]], "species": ["Co", "Co", "Ir", "Re"], "frac_coords": [[0.000, 0.190, 0.995], [0.500, 0.060, 0.255], [0.000, 0.454, 0.467], [0.500, 0.796, 0.782]]}

***

{"formula": "CoRe3Ir", "functional": "PBE", "state": "optimized geometry", "sg": "Pm-3m, No. 221", "dos_at_fermi_per_ev_fu": 6.4, "m_tot_mub_per_cell": 0.00, "e_form_kj_per_mol_fu": 761, "rho_g_cm3": 16.45, "lattice_angstrom": [[-4.066, -1.238, -0.878], [0.297, -3.112, 3.010], [-1.488, 2.760, 3.000]], "species": ["Re", "Re", "Re", "Ir", "Co"], "frac_coords": [[0.000, 0.500, 0.000], [0.000, 0.000, 0.500], [0.500, 0.000, 0.000], [0.500, 0.500, 0.500], [0.000, 0.000, 0.000]]}

***

{"formula": "CoRe2Ir", "functional": "PBE", "state": "optimized geometry", "sg": "F-43m, No. 216", "dos_at_fermi_per_ev_fu": 4.0, "m_tot_mub_per_cell": 0.01, "e_form_kj_per_mol_fu": 96, "rho_g_cm3": 18.45, "lattice_angstrom": [[-3.744, 1.857, 1.000], [-3.232, -2.375, 1.544], [-1.175, 0.386, 4.115]], "species": ["Co", "Ir", "Re", "Re"], "frac_coords": [[0.500, 0.500, 0.500], [0.750, 0.750, 0.750], [0.000, 0.000, 0.000], [0.250, 0.250, 0.250]]}

***

{"formula": "Co2ReIr", "functional": "PBE", "state": "optimized geometry", "sg": "I-4m2, No. 119", "dos_at_fermi_per_ev_fu": 4.2, "m_tot_mub_per_cell": 1.67, "e_form_kj_per_mol_fu": -15, "rho_g_cm3": 16.25, "lattice_angstrom": [[-3.281, -2.973, 1.042], [1.021, -2.146, 3.878], [-0.118, 4.410, -1.108]], "species": ["Re", "Ir", "Co", "Co"], "frac_coords": [[0.750, 0.250, 0.500], [0.500, 0.500, 0.000], [0.000, 0.000, 0.000], [0.250, 0.750, 0.500]]}

***

{"formula": "CoRe2Ir", "functional": "PBE", "state": "optimized geometry", "sg": "Cm, No. 8", "dos_at_fermi_per_ev_fu": 3.8, "m_tot_mub_per_cell": 0.00, "e_form_kj_per_mol_fu": -6, "rho_g_cm3": 18.67, "lattice_angstrom": [[4.616, -0.005, 0.003], [3.836, 2.567, 0.003], [0.726, 0.220, 4.673]], "species": ["Co", "Ir", "Re", "Re"], "frac_coords": [[0.496, 0.496, 0.514], [0.252, 0.252, 0.251], [0.999, 0.999, 0.005], [0.753, 0.753, 0.730]]}

***

{"formula": "CoRe2Ir", "functional": "PBE", "state": "optimized geometry", "sg": "I-42d, No. 122", "dos_at_fermi_per_ev_fu": 4.6, "m_tot_mub_per_cell": 1.16, "e_form_kj_per_mol_fu": 227, "rho_g_cm3": 16.96, "lattice_angstrom": [[-1.598, 0.393, 3.350], [-3.142, -1.521, -1.321], [0.509, -8.514, 3.321]], "species": ["Re", "Re", "Re", "Re", "Ir", "Ir", "Co", "Co"], "frac_coords": [[0.591, 0.125, 0.250], [0.159, 0.625, 0.250], [0.375, 0.409, 0.750], [0.875, 0.841, 0.750], [0.000, 0.000, 0.000], [0.750, 0.250, 0.500], [0.500, 0.500, 0.000], [0.250, 0.750, 0.500]]}

***

{"formula": "CoRe2Ir", "functional": "PBE", "state": "optimized geometry", "sg": "R3m, No. 160", "dos_at_fermi_per_ev_fu": 4.6, "m_tot_mub_per_cell": 1.47, "e_form_kj_per_mol_fu": 25, "rho_g_cm3": 18.42, "lattice_angstrom": [[8.828, -0.014, -0.008], [8.409, 2.687, -0.008], [8.409, 1.304, 2.349]], "species": ["Co", "Ir", "Re", "Re"], "frac_coords": [[0.500, 0.500, 0.500], [0.752, 0.752, 0.752], [0.001, 0.001, 0.001], [0.247, 0.247, 0.247]]}

***

{"formula": "Co2ReIr", "functional": "PBE", "state": "optimized geometry", "sg": "I-42d, No. 122", "dos_at_fermi_per_ev_fu": 4.3, "m_tot_mub_per_cell": 0.00, "e_form_kj_per_mol_fu": 459, "rho_g_cm3": 11.58, "lattice_angstrom": [[-3.370, -0.224, -4.078], [3.192, -3.441, -2.449], [-2.530, -5.684, -1.034]], "species": ["Re", "Re", "Ir", "Ir", "Co", "Co", "Co", "Co"], "frac_coords": [[0.500, 0.500, 0.000], [0.250, 0.750, 0.500], [0.000, 0.000, 0.000], [0.750, 0.250, 0.500], [0.626, 0.125, 0.250], [0.124, 0.625, 0.250], [0.375, 0.374, 0.750], [0.875, 0.876, 0.750]]}

***

{"formula": "CoRe2Ir", "functional": "PBE", "state": "optimized geometry", "sg": "Pmm2, No. 25", "dos_at_fermi_per_ev_fu": 2.7, "m_tot_mub_per_cell": 0.26, "e_form_kj_per_mol_fu": -60, "rho_g_cm3": 18.84, "lattice_angstrom": [[4.295, 0.000, 0.000], [0.000, 2.699, -0.001], [0.000, 0.002, 4.739]], "species": ["Re", "Re", "Ir", "Co"], "frac_coords": [[0.000, 0.125, 0.966], [0.500, 0.125, 0.298], [0.500, 0.625, 0.781], [0.000, 0.625, 0.455]]}

***

{"formula": "CoReIr2", "functional": "PBE", "state": "optimized geometry", "sg": "Cmmm, No. 65", "dos_at_fermi_per_ev_fu": 3.5, "m_tot_mub_per_cell": 0.19, "e_form_kj_per_mol_fu": -10, "rho_g_cm3": 19.00, "lattice_angstrom": [[-2.804, -0.519, 3.666], [1.773, -4.131, -1.166], [2.089, 0.429, 1.658]], "species": ["Co", "Ir", "Ir", "Re"], "frac_coords": [[0.000, 0.500, 0.500], [0.000, 0.000, 0.000], [0.500, 0.500, 0.000], [0.500, 0.000, 0.500]]}

***

{"formula": "CoRe2Ir2", "functional": "PBE", "state": "optimized geometry", "sg": "P4/mbm, No. 127", "dos_at_fermi_per_ev_fu": 4.6, "m_tot_mub_per_cell": 2.76, "e_form_kj_per_mol_fu": 139, "rho_g_cm3": 17.56, "lattice_angstrom": [[7.537, 0.000, 0.000], [0.000, 7.537, 0.000], [0.000, 0.000, 2.716]], "species": ["Re", "Re", "Re", "Re", "Ir", "Ir", "Ir", "Ir", "Co", "Co"], "frac_coords": [[0.171, 0.671, 0.500], [0.671, 0.829, 0.500], [0.829, 0.329, 0.500], [0.329, 0.171, 0.500], [0.375, 0.875, 0.000], [0.875, 0.625, 0.000], [0.625, 0.125, 0.000], [0.125, 0.375, 0.000], [0.000, 0.000, 0.000], [0.500, 0.500, 0.000]]}

***

{"formula": "Co2ReIr", "functional": "PBE", "state": "optimized geometry", "sg": "R-3m, No. 166", "dos_at_fermi_per_ev_fu": 5.5, "m_tot_mub_per_cell": 2.55, "e_form_kj_per_mol_fu": 45, "rho_g_cm3": 15.81, "lattice_angstrom": [[-6.910, -2.797, 4.241], [-5.250, -2.488, 6.309], [-6.652, -0.405, 5.400]], "species": ["Co", "Co", "Ir", "Re"], "frac_coords": [[0.001, 0.001, 0.001], [0.499, 0.499, 0.499], [0.250, 0.250, 0.250], [0.750, 0.750, 0.750]]}

***

{"formula": "CoReIr4", "functional": "PBE", "state": "optimized geometry", "sg": "C2/m, No. 12", "dos_at_fermi_per_ev_fu": 8.1, "m_tot_mub_per_cell": 1.97, "e_form_kj_per_mol_fu": 230, "rho_g_cm3": 17.22, "lattice_angstrom": [[4.166, 0.000, 0.000], [2.083, 3.600, 0.212], [2.083, 0.811, 6.569]], "species": ["Co", "Re", "Ir", "Ir", "Ir", "Ir"], "frac_coords": [[0.000, 0.000, 0.000], [0.500, 0.500, 0.500], [0.629, 0.629, 0.112], [0.371, 0.371, 0.888], [0.124, 0.125, 0.627], [0.876, 0.875, 0.373]]}

***

{"formula": "CoReIr2", "functional": "PBE", "state": "optimized geometry", "sg": "F-43m, No. 216", "dos_at_fermi_per_ev_fu": 6.3, "m_tot_mub_per_cell": 1.77, "e_form_kj_per_mol_fu": 143, "rho_g_cm3": 18.51, "lattice_angstrom": [[4.307, 0.000, 0.000], [2.153, 3.730, 0.000], [2.153, 1.243, 3.516]], "species": ["Co", "Ir", "Ir", "Re"], "frac_coords": [[0.500, 0.500, 0.500], [0.000, 0.000, 0.000], [0.250, 0.250, 0.250], [0.750, 0.750, 0.750]]}

***

{"formula": "Co4ReIr", "functional": "PBE", "state": "optimized geometry", "sg": "F-43m, No. 216", "dos_at_fermi_per_ev_fu": 10.0, "m_tot_mub_per_cell": 1.97, "e_form_kj_per_mol_fu": 55, "rho_g_cm3": 14.57, "lattice_angstrom": [[0.000, 3.271, 3.271], [3.271, 0.000, 3.271], [3.271, 3.271, 0.000]], "species": ["Co", "Co", "Co", "Co", "Re", "Ir"], "frac_coords": [[0.625, 0.625, 0.625], [0.625, 0.625, 0.126], [0.625, 0.126, 0.625], [0.126, 0.625, 0.625], [0.000, 0.000, 0.000], [0.250, 0.250, 0.250]]}

***

{"formula": "Co2ReIr", "functional": "PBE", "state": "optimized geometry", "sg": "Pmm2, No. 25", "dos_at_fermi_per_ev_fu": 4.2, "m_tot_mub_per_cell": 1.97, "e_form_kj_per_mol_fu": -4, "rho_g_cm3": 16.08, "lattice_angstrom": [[2.672, 0.000, 0.000], [0.000, 3.688, 0.000], [0.000, 0.000, 5.199]], "species": ["Co", "Co", "Ir", "Re"], "frac_coords": [[0.000, 0.000, 0.011], [0.500, 0.500, 0.231], [0.000, 0.000, 0.496], [0.500, 0.500, 0.762]]}

***

{"formula": "CoRe2Ir", "functional": "PBE", "state": "optimized geometry", "sg": "Fm-3m, No. 225", "dos_at_fermi_per_ev_fu": 5.8, "m_tot_mub_per_cell": 1.18, "e_form_kj_per_mol_fu": 184, "rho_g_cm3": 18.22, "lattice_angstrom": [[-4.002, -0.803, -1.401], [-3.348, 2.129, 1.697], [-2.096, 2.951, -2.350]], "species": ["Re", "Re", "Ir", "Co"], "frac_coords": [[0.250, 0.250, 0.250], [0.750, 0.750, 0.750], [0.500, 0.500, 0.500], [0.000, 0.000, 0.000]]}

***

{"formula": "CoRe2Ir", "functional": "PBE", "state": "optimized geometry", "sg": "R-3m, No. 166", "dos_at_fermi_per_ev_fu": 4.1, "m_tot_mub_per_cell": 0.33, "e_form_kj_per_mol_fu": 23, "rho_g_cm3": 18.63, "lattice_angstrom": [[-1.176, -7.380, 4.620], [1.281, -7.923, 3.576], [1.066, -6.457, 5.863]], "species": ["Co", "Ir", "Re", "Re"], "frac_coords": [[0.250, 0.250, 0.250], [0.750, 0.750, 0.750], [0.997, 0.997, 0.997], [0.503, 0.503, 0.503]]}

***

{"formula": "Co2ReIr", "functional": "PBE", "state": "optimized geometry", "sg": "I4/mmm, No. 139", "dos_at_fermi_per_ev_fu": 3.8, "m_tot_mub_per_cell": 1.54, "e_form_kj_per_mol_fu": 7, "rho_g_cm3": 16.27, "lattice_angstrom": [[4.500, 0.007, 0.000], [1.408, 4.274, 0.000], [-2.954, -2.140, 2.635]], "species": ["Co", "Co", "Ir", "Re"], "frac_coords": [[0.000, 0.000, 0.000], [0.500, 0.500, 0.000], [0.250, 0.750, 0.500], [0.750, 0.250, 0.500]]}

***

{"formula": "Co2ReIr", "functional": "PBE", "state": "optimized geometry", "sg": "Cmmm, No. 65", "dos_at_fermi_per_ev_fu": 5.4, "m_tot_mub_per_cell": 1.13, "e_form_kj_per_mol_fu": 21, "rho_g_cm3": 16.29, "lattice_angstrom": [[-0.384, 3.603, 2.656], [1.910, -3.303, 2.372], [2.386, 0.824, -0.774]], "species": ["Co", "Co", "Ir", "Re"], "frac_coords": [[0.000, 0.000, 0.000], [0.500, 0.500, 0.000], [0.500, 0.000, 0.500], [0.000, 0.500, 0.500]]}

***

{"formula": "ScCoRe2Ir", "functional": "PBE", "state": "optimized geometry", "sg": "P4/mmm, No. 123", "dos_at_fermi_per_ev_fu": 9.5, "m_tot_mub_per_cell": 0.12, "e_form_kj_per_mol_fu": 813, "rho_g_cm3": 10.44, "lattice_angstrom": [[-1.925, -1.761, -3.908], [4.364, -0.301, -2.014], [0.493, -4.346, 1.716]], "species": ["Sc", "Re", "Re", "Ir", "Co"], "frac_coords": [[0.000, 0.500, 0.000], [0.000, 0.000, 0.500], [0.500, 0.000, 0.000], [0.000, 0.000, 0.000], [0.500, 0.500, 0.500]]}

***

{"formula": "Co2ReIrSe", "functional": "PBE", "state": "optimized geometry", "sg": "P4/mmm, No. 123", "dos_at_fermi_per_ev_fu": 7.3, "m_tot_mub_per_cell": 2.04, "final_energy_ev_per_atom": -6.153, "rho_g_cm3": 10.50, "lattice_angstrom": [[-2.144, -3.793, 0.831], [4.048, -2.196, 0.422], [0.049, 0.923, 4.338]], "species": ["Re", "Ir", "Co", "Co", "Se"], "frac_coords": [[0.000, 0.000, 0.000], [0.500, 0.500, 0.500], [0.000, 0.000, 0.500], [0.500, 0.000, 0.000], [0.000, 0.500, 0.000]]}

***

{"formula": "TlCoReIr2", "functional": "PBE", "state": "optimized geometry", "sg": "P4/mmm, No. 123", "dos_at_fermi_per_ev_fu": 6.4, "m_tot_mub_per_cell": 5.61, "e_form_kj_per_mol_fu": 1306, "rho_g_cm3": 12.63, "lattice_angstrom": [[4.898, 0.000, 0.000], [0.000, 4.572, 0.000], [0.000, 0.000, 4.898]], "species": ["Re", "Tl", "Ir", "Ir", "Co"], "frac_coords": [[0.500, 0.500, 0.500], [0.000, 0.000, 0.000], [0.000, 0.000, 0.500], [0.500, 0.000, 0.000], [0.000, 0.500, 0.000]]}

***

{"formula": "VCoRe2Ir", "functional": "PBE", "state": "optimized geometry", "sg": "P4/mmm, No. 123", "dos_at_fermi_per_ev_fu": 9.9, "m_tot_mub_per_cell": 0.78, "e_form_kj_per_mol_fu": 733, "rho_g_cm3": 13.39, "lattice_angstrom": [[4.337, 0.000, 0.000], [0.000, 4.447, 0.000], [0.000, 0.000, 4.337]], "species": ["Re", "Re", "Ir", "Co", "V"], "frac_coords": [[0.000, 0.000, 0.500], [0.500, 0.000, 0.000], [0.000, 0.500, 0.000], [0.000, 0.000, 0.000], [0.500, 0.500, 0.500]]}

***

{"formula": "CoIr3Rh4", "functional": "PBE", "state": "optimized geometry", "sg": "C2/m, No. 12", "dos_at_fermi_per_ev_fu": 12.2, "m_tot_mub_per_cell": 2.07, "e_form_kj_per_mol_fu": 268, "rho_g_cm3": 13.99, "lattice_angstrom": [[2.634, 0.000, -0.521], [0.171, 4.220, 0.866], [1.006, 4.822, 12.009]], "species": ["Rh", "Rh", "Rh", "Rh", "Ir", "Ir", "Ir", "Co"], "frac_coords": [[0.600, 0.336, 0.200], [0.400, 0.664, 0.800], [0.329, 0.409, 0.658], [0.671, 0.591, 0.342], [0.000, 0.500, 0.000], [0.791, 0.041, 0.583], [0.209, 0.959, 0.417], [0.500, 0.000, 0.000]]}

***

{"formula": "Co4Ir12Rh3", "functional": "PBE", "state": "optimized geometry", "sg": "Im-3, No. 204", "dos_at_fermi_per_ev_fu": 23.9, "m_tot_mub_per_cell": 4.58, "e_form_kj_per_mol_fu": 1387, "rho_g_cm3": 12.63, "lattice_angstrom": [[-7.567, -2.075, -0.584], [3.463, -0.708, -7.029], [3.611, -4.686, 5.187]], "species": ["Co", "Co", "Co", "Co", "Ir", "Ir", "Ir", "Ir", "Ir", "Ir", "Ir", "Ir", "Ir", "Ir", "Ir", "Ir", "Rh", "Rh", "Rh"], "frac_coords": [[0.000, 0.000, 0.500], [0.500, 0.500, 0.500], [0.500, 0.000, 0.000], [0.000, 0.500, 0.000], [0.642, 0.378, 0.737], [0.358, 0.622, 0.263], [0.358, 0.095, 0.737], [0.378, 0.737, 0.642], [0.737, 0.358, 0.095], [0.263, 0.358, 0.622], [0.095, 0.737, 0.358], [0.263, 0.642, 0.905], [0.642, 0.905, 0.263], [0.622, 0.263, 0.358], [0.737, 0.642, 0.378], [0.905, 0.263, 0.642], [0.500, 0.000, 0.500], [0.500, 0.500, 0.000], [0.000, 0.500, 0.500]]}

***

{"formula": "CoIr3Rh6", "functional": "PBE", "state": "optimized geometry", "sg": "P-31m, No. 162", "dos_at_fermi_per_ev_fu": 14.7, "m_tot_mub_per_cell": 1.09, "e_form_kj_per_mol_fu": 283, "rho_g_cm3": 14.27, "lattice_angstrom": [[4.927, 0.000, 0.000], [-2.464, 4.267, 0.000], [0.000, 0.000, 6.935]], "species": ["Co", "Ir", "Ir", "Ir", "Rh", "Rh", "Rh", "Rh", "Rh", "Rh"], "frac_coords": [[0.000, 0.000, 0.000], [0.000, 0.000, 0.500], [0.667, 0.333, 0.500], [0.333, 0.667, 0.500], [0.611, 0.611, 0.811], [0.000, 0.389, 0.811], [0.389, 0.000, 0.811], [0.000, 0.611, 0.189], [0.389, 0.389, 0.189], [0.611, 0.000, 0.189]]}